# 1
Density functional theory data (meta-GGA SCAN) for LuInRh2 at its PBEsol-relaxed geometry.

```
data_LuInRh2
_cell_length_a 6.457
_cell_length_b 6.457
_cell_length_c 6.457
_cell_angle_alpha 90.00
_cell_angle_beta 90.00
_cell_angle_gamma 90.00
_symmetry_space_group_name_H-M 'F m -3 m'
_symmetry_Int_Tables_number 225
_symmetry_space_group_name_Hall '-F 4 2 3'
loop_
_atom_site_label
_atom_site_type_symbol
_atom_site_fract_x
_atom_site_fract_y
_atom_site_fract_z
Lu1 Lu 0.000 0.000 0.000
In1 In 0.000 0.000 0.500
Rh1 Rh 0.250 0.250 0.250
```

The value obtained for the spin magnetization is 0.00 μB/f.u. For the formation energy, the calculation gives -3.75 eV per formula unit.

=====

# 2
Density functional theory data (meta-GGA SCAN) for Lu2TlIn at its PBEsol-relaxed geometry.

```
data_Lu2TlIn
_cell_length_a 7.299
_cell_length_b 7.299
_cell_length_c 7.299
_cell_angle_alpha 90.00
_cell_angle_beta 90.00
_cell_angle_gamma 90.00
_symmetry_space_group_name_H-M 'F m -3 m'
_symmetry_Int_Tables_number 225
_symmetry_space_group_name_Hall '-F 4 2 3'
loop_
_atom_site_label
_atom_site_type_symbol
_atom_site_fract_x
_atom_site_fract_y
_atom_site_fract_z
Lu1 Lu 0.250 0.250 0.250
Tl1 Tl 0.000 0.000 0.000
In1 In 0.000 0.000 0.500
```

The value obtained for the spin magnetization is 0.00 μB/f.u. For the formation energy, the calculation gives -1.92 eV per formula unit.

=====

# 3
Density functional theory data (meta-GGA SCAN) for MgIn at its PBEsol-relaxed geometry.

```
data_MgIn
_cell_length_a 3.3087
_cell_length_b 3.3087
_cell_length_c 14.5279
_cell_angle_alpha 90.00
_cell_angle_beta 90.00
_cell_angle_gamma 120.00
_symmetry_space_group_name_H-M 'R -3 m'
_symmetry_Int_Tables_number 166
_symmetry_space_group_name_Hall '-R 3 2"'
loop_
_atom_site_label
_atom_site_type_symbol
_atom_site_fract_x
_atom_site_fract_y
_atom_site_fract_z
Mg1 Mg 0.0000 0.0000 0.0000
In1 In 0.0000 0.0000 0.5000
```

The value obtained for the spin magnetization is 0.01 μB/f.u. For the formation energy, the calculation gives -0.26 eV per formula unit.

=====

# 4
Density functional theory data (meta-GGA SCAN) for MgIn at its PBEsol-relaxed geometry.

```
data_MgIn
_cell_length_a 11.289
_cell_length_b 3.362
_cell_length_c 7.685
_cell_angle_alpha 90.00
_cell_angle_beta 108.25
_cell_angle_gamma 90.00
_symmetry_space_group_name_H-M 'C 1 m 1'
_symmetry_Int_Tables_number 8
_symmetry_space_group_name_Hall 'C -2y'
loop_
_atom_site_label
_atom_site_type_symbol
_atom_site_fract_x
_atom_site_fract_y
_atom_site_fract_z
Mg1 Mg 0.000 0.000 0.000
Mg2 Mg 0.055 0.000 0.604
Mg3 Mg 0.368 0.000 0.265
In1 In 0.149 0.500 0.333
In2 In 0.218 0.500 0.933
In3 In 0.341 0.000 0.659
```

The value obtained for the spin magnetization is 0.00 μB/f.u. For the formation energy, the calculation gives -0.24 eV per formula unit.

=====

# 5
Density functional theory data (meta-GGA SCAN) for MgIn at its PBEsol-relaxed geometry.

```
data_MgIn
_cell_length_a 3.300
_cell_length_b 4.770
_cell_length_c 6.089
_cell_angle_alpha 90.00
_cell_angle_beta 105.82
_cell_angle_gamma 90.00
_symmetry_space_group_name_H-M 'P 1 21/m 1'
_symmetry_Int_Tables_number 11
_symmetry_space_group_name_Hall '-P 2yb'
loop_
_atom_site_label
_atom_site_type_symbol
_atom_site_fract_x
_atom_site_fract_y
_atom_site_fract_z
Mg1 Mg 0.169 0.250 0.334
In1 In 0.418 0.250 0.841
```

The value obtained for the spin magnetization is 0.00 μB/f.u. For the formation energy, the calculation gives -0.28 eV per formula unit.

=====

# 6
Density functional theory data (meta-GGA SCAN) for Mg3In at its PBEsol-relaxed geometry.

```
data_Mg3In
_cell_length_a 3.2439
_cell_length_b 3.2439
_cell_length_c 10.0439
_cell_angle_alpha 90.00
_cell_angle_beta 90.00
_cell_angle_gamma 120.00
_symmetry_space_group_name_H-M 'P -6 m 2'
_symmetry_Int_Tables_number 187
_symmetry_space_group_name_Hall 'P -6 2'
loop_
_atom_site_label
_atom_site_type_symbol
_atom_site_fract_x
_atom_site_fract_y
_atom_site_fract_z
Mg1 Mg 0.0000 0.0000 0.0000
Mg2 Mg 0.6667 0.3333 0.2519
In1 In 0.0000 0.0000 0.5000
```

The value obtained for the spin magnetization is 0.01 μB/f.u. For the formation energy, the calculation gives -0.19 eV per formula unit.

=====

# 7
Density functional theory data (meta-GGA SCAN) for MgIn4 at its PBEsol-relaxed geometry.

```
data_MgIn4
_cell_length_a 7.356
_cell_length_b 7.356
_cell_length_c 4.496
_cell_angle_alpha 90.00
_cell_angle_beta 90.00
_cell_angle_gamma 90.00
_symmetry_space_group_name_H-M 'I 4/m'
_symmetry_Int_Tables_number 87
_symmetry_space_group_name_Hall '-I 4'
loop_
_atom_site_label
_atom_site_type_symbol
_atom_site_fract_x
_atom_site_fract_y
_atom_site_fract_z
Mg1 Mg 0.000 0.000 0.000
In1 In 0.103 0.298 0.500
```

The value obtained for the spin magnetization is 0.00 μB/f.u. For the formation energy, the calculation gives -0.15 eV per formula unit.

=====

# 8
Density functional theory data (meta-GGA SCAN) for Mg3In at its PBEsol-relaxed geometry.

```
data_Mg3In
_cell_length_a 3.182
_cell_length_b 10.406
_cell_length_c 5.427
_cell_angle_alpha 90.00
_cell_angle_beta 90.00
_cell_angle_gamma 90.00
_symmetry_space_group_name_H-M 'I m m 2'
_symmetry_Int_Tables_number 44
_symmetry_space_group_name_Hall 'I 2 -2'
loop_
_atom_site_label
_atom_site_type_symbol
_atom_site_fract_x
_atom_site_fract_y
_atom_site_fract_z
Mg1 Mg 0.000 0.000 0.000
Mg2 Mg 0.000 0.248 0.666
In1 In 0.000 0.500 0.996
```

The value obtained for the spin magnetization is 0.00 μB/f.u. For the formation energy, the calculation gives -0.42 eV per formula unit.

=====

# 9
Density functional theory data (meta-GGA SCAN) for MgIn at its PBEsol-relaxed geometry.

```
data_MgIn
_cell_length_a 3.2595
_cell_length_b 3.2595
_cell_length_c 10.2930
_cell_angle_alpha 90.00
_cell_angle_beta 90.00
_cell_angle_gamma 120.00
_symmetry_space_group_name_H-M 'P -3 m 1'
_symmetry_Int_Tables_number 164
_symmetry_space_group_name_Hall '-P 3 2"'
loop_
_atom_site_label
_atom_site_type_symbol
_atom_site_fract_x
_atom_site_fract_y
_atom_site_fract_z
Mg1 Mg 0.3333 0.6667 0.3766
In1 In 0.3333 0.6667 0.8695
```

The value obtained for the spin magnetization is 0.00 μB/f.u. For the formation energy, the calculation gives -0.02 eV per formula unit.

=====

# 10
Density functional theory data (meta-GGA SCAN) for MgIn5 at its PBEsol-relaxed geometry.

```
data_MgIn5
_cell_length_a 3.2838
_cell_length_b 3.2838
_cell_length_c 15.9395
_cell_angle_alpha 90.00
_cell_angle_beta 90.00
_cell_angle_gamma 120.00
_symmetry_space_group_name_H-M 'P -6 m 2'
_symmetry_Int_Tables_number 187
_symmetry_space_group_name_Hall 'P -6 2'
loop_
_atom_site_label
_atom_site_type_symbol
_atom_site_fract_x
_atom_site_fract_y
_atom_site_fract_z
Mg1 Mg 0.0000 0.0000 0.0000
In1 In 0.0000 0.0000 0.3276
In2 In 0.6667 0.3333 0.1579
In3 In 0.6667 0.3333 0.5000
```

The value obtained for the spin magnetization is 0.00 μB/f.u. For the formation energy, the calculation gives 0.17 eV per formula unit.

=====

# 11
Density functional theory data (meta-GGA SCAN) for Mg5In3 at its PBEsol-relaxed geometry.

```
data_Mg5In3
_cell_length_a 5.838
_cell_length_b 15.850
_cell_length_c 8.404
_cell_angle_alpha 90.00
_cell_angle_beta 108.77
_cell_angle_gamma 90.00
_symmetry_space_group_name_H-M 'C 1 2/m 1'
_symmetry_Int_Tables_number 12
_symmetry_space_group_name_Hall '-C 2y'
loop_
_atom_site_label
_atom_site_type_symbol
_atom_site_fract_x
_atom_site_fract_y
_atom_site_fract_z
Mg1 Mg 0.098 0.173 0.197
Mg2 Mg 0.162 0.401 0.346
Mg3 Mg 0.250 0.000 0.000
In1 In 0.000 0.248 0.500
In2 In 0.000 0.332 0.000
In3 In 0.151 0.000 0.339
```

The distance to the lowest polymorph of the same formula comes out at 27.0 meV/atom. The value obtained for the spin magnetization is 0.00 μB/f.u. For the formation energy, the calculation gives -1.12 eV per formula unit.

=====

# 12
Density functional theory data (meta-GGA SCAN) for Mg3In at its PBEsol-relaxed geometry.

```
data_Mg3In
_cell_length_a 5.622
_cell_length_b 5.622
_cell_length_c 5.622
_cell_angle_alpha 90.00
_cell_angle_beta 90.00
_cell_angle_gamma 90.00
_symmetry_space_group_name_H-M 'P m -3 n'
_symmetry_Int_Tables_number 223
_symmetry_space_group_name_Hall '-P 4n 2 3'
loop_
_atom_site_label
_atom_site_type_symbol
_atom_site_fract_x
_atom_site_fract_y
_atom_site_fract_z
Mg1 Mg 0.000 0.250 0.500
In1 In 0.000 0.000 0.000
```

The value obtained for the spin magnetization is 0.00 μB/f.u. For the formation energy, the calculation gives -0.52 eV per formula unit.